This record from Alexandria describes an optimized crystal structure of Rb2Pb3Au2. The functional is PBE.

Cell and atoms, written as CIF:
```
data_Rb2Pb3Au2
_space_group_name_H-M_alt 'C 1 2/m 1'
_space_group_IT_number 12
_space_group_name_Hall '-C 2y'
_cell_length_a 13.103
_cell_length_b 4.708
_cell_length_c 9.069
_cell_angle_alpha 90.00
_cell_angle_beta 121.53
_cell_angle_gamma 90.00
loop_
_atom_site_label
_atom_site_fract_x
_atom_site_fract_y
_atom_site_fract_z
_atom_site_occupancy
Rb1 0.143 0.000 0.286 1
Pb1 0.000 0.500 0.500 1
Pb2 0.140 0.500 0.942 1
Au1 0.135 0.000 0.723 1
```

Output
The crystal system is monoclinic. The formation energy comes out at -117 kJ/mol of formula units.

This record from Alexandria describes an optimized crystal structure of Rb2PbAu3. The functional is PBE.

Cell and atoms, written as CIF:
```
data_Rb2PbAu3
_space_group_name_H-M_alt 'C 1 2/c 1'
_space_group_IT_number 15
_space_group_name_Hall '-C 2yc'
_cell_length_a 11.265
_cell_length_b 9.266
_cell_length_c 7.811
_cell_angle_alpha 90.00
_cell_angle_beta 96.03
_cell_angle_gamma 90.00
loop_
_atom_site_label
_atom_site_fract_x
_atom_site_fract_y
_atom_site_fract_z
_atom_site_occupancy
Rb1 0.166 0.096 0.126 1
Pb1 0.000 0.484 0.250 1
Au1 0.000 0.199 0.750 1
Au2 0.140 0.316 0.504 1
```

Output
The crystal system is monoclinic. The formation energy comes out at -107 kJ/mol of formula units.

This record from Alexandria describes an optimized crystal structure of Rb2PbAu. The functional is PBE.

Cell and atoms, written as CIF:
```
data_Rb2PbAu
_space_group_name_H-M_alt 'C 1 2 1'
_space_group_IT_number 5
_space_group_name_Hall 'C 2y'
_cell_length_a 11.754
_cell_length_b 6.935
_cell_length_c 4.966
_cell_angle_alpha 90.00
_cell_angle_beta 114.92
_cell_angle_gamma 90.00
loop_
_atom_site_label
_atom_site_fract_x
_atom_site_fract_y
_atom_site_fract_z
_atom_site_occupancy
Rb1 0.190 0.000 0.190 1
Pb1 0.000 0.509 0.000 1
Au1 0.000 0.691 0.500 1
```

Output
The crystal system is monoclinic. The formation energy comes out at -68 kJ/mol of formula units.